An optimized crystal structure of FeCo2Cl, computed with PBE.

Properties
Volume: 128 Å³ per cell
Calculated density: 5.438 g/cm3
E_form (uncorrected): 0.32 eV/atom

abc: 7.4622 2.8331 6.8870
angles: 90.00 118.67 90.00
Closest atoms and distances in Å follow each position.
Space group C2/m (No. 12)
One atom of each set of equivalent atoms:
Fe  0.0000  0.0000  0.0000 [2 per cell]  6 Co 2.35-2.40
Co  0.1409  0.5000  0.8258 [4 per cell]  3 Fe 2.35-2.40, 2 Cl 2.43, 2 Co 2.58
Cl  0.0000  0.0000  0.5000 [2 per cell]  4 Co 2.43